(1)
First-principles (PBE) data for Sm8Y3Th2 after structural relaxation, as listed in Alexandria via LeMat-Bulk.

M_tot ... 0.00 μB per formula unit
Electronic total energy ... -5.417 eV per atom
DFT formation energy ... 0.1206 eV/atom

Cell: 12.665 6.588 16.316 Å, 102.91 76.34 138.42°
Element x y z (fractional)
1 Sm 0.865 0.400 0.377
2 Sm 0.545 0.077 0.273
3 Sm 0.658 0.651 0.402
4 Y 0.000 0.000 0.000
5 Th 0.527 0.208 0.101
6 Sm 0.968 0.765 0.197
7 Sm 0.032 0.235 0.803
8 Y 0.155 0.546 0.212
9 Sm 0.228 0.906 0.425
10 Th 0.073 0.209 0.420
11 Y 0.363 0.354 0.278
12 Sm 0.801 0.226 0.001
13 Sm 0.604 0.488 0.916
14 Th 0.927 0.791 0.580
15 Sm 0.135 0.600 0.623
16 Y 0.500 0.000 0.500
17 Sm 0.772 0.094 0.575
18 Sm 0.396 0.512 0.084
19 Sm 0.243 0.072 0.816
20 Sm 0.757 0.928 0.184
21 Sm 0.199 0.774 0.999
22 Sm 0.455 0.923 0.727
23 Sm 0.342 0.349 0.598
24 Y 0.637 0.646 0.722
25 Th 0.473 0.792 0.899
26 Y 0.845 0.454 0.788


(2)
First-principles (PBE) data for SrCa3Hg2 after structural relaxation, as listed in Alexandria via LeMat-Bulk.

M_tot ... 0.00 μB per formula unit
Electronic total energy ... -1.781 eV per atom
DFT formation energy ... -0.3990 eV/atom

Cell: 4.967 8.165 9.972 Å, 90.00 90.00 90.00°
Element x y z (fractional)
1 Ca 0.500 0.147 0.821
2 Sr 0.500 0.528 0.579
3 Ca 0.000 0.972 0.074
4 Hg 0.500 0.257 0.122
5 Sr 0.500 0.028 0.421
6 Hg 0.500 0.757 0.878
7 Ca 0.000 0.354 0.310
8 Ca 0.000 0.854 0.690
9 Hg 0.000 0.741 0.374
10 Ca 0.000 0.472 0.926
11 Ca 0.500 0.647 0.179
12 Hg 0.000 0.241 0.626


Which of these has the lowest electronic total energy?
Sm8Y3Th2